# 1
This record from Alexandria describes Ac3AsOs after structural relaxation. The functional is PBE-GGA.

Cell: 5.7110 5.7110 5.7110 Å, 90.00 90.00 90.00°
Sites, in units of the cell vectors:
1 Ac 0.0000 0.0000 0.5000
2 Ac 0.5000 0.0000 0.0000
3 As 0.5000 0.5000 0.5000
4 Ac 0.0000 0.5000 0.0000
5 Os 0.0000 0.0000 0.0000

Computed properties:
ΔE_f = -0.71 eV/f.u.

=====

# 2
This record from Alexandria describes SnH8C2Br3N after structural relaxation. The functional is PBE-GGA.

Cell: 12.4441 12.8161 12.7556 Å, 90.00 90.00 90.00°
Sites, in units of the cell vectors:
1 H 0.6042 0.3308 0.0259
2 Sn 0.2579 0.4879 0.7097
3 Sn 0.7579 0.4879 0.7903
4 Sn 0.7421 0.9879 0.7903
5 C 0.9405 0.2745 0.0707
6 C 0.9454 0.7162 0.5789
7 Br 0.2276 0.0259 0.4979
8 H 0.1042 0.3308 0.4741
9 Br 0.2276 0.4741 0.9979
10 H 0.5737 0.1474 0.9931
11 H 0.0124 0.8302 0.1093
12 C 0.4454 0.7838 0.4211
13 Sn 0.2421 0.5121 0.2097
14 Br 0.5240 0.5220 0.2707
15 H 0.5883 0.8447 0.1106
16 H 0.0737 0.3526 0.0069
17 H 0.4677 0.1463 0.0705
18 H 0.8958 0.6692 0.5259
19 H 0.4882 0.2265 0.3757
20 Br 0.2543 0.7208 0.1808
21 Br 0.2457 0.2208 0.1808
22 H 0.3958 0.6692 0.9741
23 H 0.0124 0.6698 0.6093
24 H 0.3965 0.7541 0.3562
25 H 0.1042 0.1692 0.9741
26 H 0.6035 0.2541 0.1438
27 Br 0.2724 0.9741 0.9979
28 H 0.0118 0.7735 0.8757
29 Br 0.7276 0.4741 0.5021
30 N 0.4899 0.8063 0.9810
31 H 0.0323 0.6463 0.0705
32 C 0.0546 0.2162 0.9211
33 H 0.8965 0.7459 0.6438
34 H 0.5124 0.6698 0.8907
35 H 0.8958 0.8308 0.0259
36 Sn 0.2421 0.9879 0.7097
37 Br 0.7457 0.2208 0.3192
38 H 0.5323 0.6463 0.4295
39 C 0.4405 0.2255 0.9293
40 Br 0.0240 0.5220 0.2293
41 N 0.9899 0.6937 0.0190
42 C 0.5546 0.2838 0.0789
43 C 0.5595 0.7745 0.0707
44 H 0.8728 0.2293 0.0398
45 H 0.1035 0.2541 0.3562
46 H 0.4876 0.3302 0.1093
47 H 0.4876 0.1698 0.6093
48 C 0.0595 0.7745 0.4293
49 H 0.9882 0.2265 0.1243
50 H 0.5124 0.8302 0.3907
51 Br 0.2543 0.7792 0.6808
52 H 0.6272 0.7707 0.5398
53 H 0.9882 0.2735 0.6243
54 Sn 0.7579 0.0121 0.2903
55 Br 0.7724 0.5259 0.0021
56 H 0.5118 0.7265 0.1243
57 N 0.0101 0.3063 0.9810
58 H 0.1272 0.7293 0.4602
59 C 0.5595 0.7255 0.5707
60 C 0.4405 0.2745 0.4293
61 H 0.9263 0.6474 0.9931
62 Br 0.7724 0.9741 0.5021
63 H 0.0323 0.8537 0.5705
64 H 0.4263 0.8526 0.0069
65 H 0.3728 0.2293 0.4602
66 H 0.6042 0.1692 0.5259
67 N 0.4899 0.6937 0.4810
68 H 0.9117 0.1553 0.6106
69 Br 0.7543 0.7792 0.8192
70 Br 0.4760 0.4780 0.7293
71 H 0.0737 0.1474 0.5069
72 Br 0.0240 0.9780 0.7293
73 H 0.4882 0.2735 0.8757
74 H 0.0883 0.6553 0.8894
75 C 0.0595 0.7255 0.9293
76 Br 0.7276 0.0259 0.0021
77 H 0.1272 0.7707 0.9602
78 H 0.8965 0.7541 0.1438
79 H 0.3965 0.7459 0.8562
80 C 0.5546 0.2162 0.5789
81 H 0.4677 0.3537 0.5705
82 H 0.5323 0.8537 0.9295
83 H 0.9117 0.3447 0.1106
84 H 0.5883 0.6553 0.6106
85 Br 0.7457 0.2792 0.8192
86 C 0.9454 0.7838 0.0789
87 H 0.9677 0.1463 0.4295
88 Sn 0.7421 0.5121 0.2903
89 Br 0.9760 0.4780 0.7707
90 H 0.3728 0.2707 0.9602
91 Br 0.2457 0.2792 0.6808
92 H 0.4117 0.3447 0.3894
93 H 0.3958 0.8308 0.4741
94 H 0.4117 0.1553 0.8894
95 H 0.9876 0.3302 0.3907
96 H 0.9677 0.3537 0.9295
97 H 0.9876 0.1698 0.8907
98 N 0.9899 0.8063 0.5190
99 H 0.8728 0.2707 0.5398
100 Br 0.9760 0.0220 0.2707
101 H 0.0883 0.8447 0.3894
102 H 0.5737 0.3526 0.4931
103 H 0.1035 0.2459 0.8562
104 Br 0.2724 0.5259 0.4979
105 N 0.5101 0.1937 0.0190
106 H 0.6272 0.7293 0.0398
107 C 0.0546 0.2838 0.4211
108 H 0.5118 0.7735 0.6243
109 Sn 0.2579 0.0121 0.2097
110 N 0.5101 0.3063 0.5190
111 H 0.9263 0.8526 0.4931
112 H 0.6035 0.2459 0.6438
113 Br 0.4760 0.0220 0.2293
114 N 0.0101 0.1937 0.4810
115 Br 0.5240 0.9780 0.7707
116 C 0.9405 0.2255 0.5707
117 C 0.4454 0.7162 0.9211
118 H 0.0118 0.7265 0.3757
119 Br 0.7543 0.7208 0.3192
120 H 0.4263 0.6474 0.5069

=====

# 3
This record from Alexandria describes PrNdP after structural relaxation. The functional is PBE-GGA.

Cell: 4.0518 4.0518 6.7768 Å, 90.00 90.00 120.00°
Sites, in units of the cell vectors:
1 Pr 0.0000 0.0000 0.0897
2 P 0.6667 0.3333 0.3354
3 Nd 0.3333 0.6667 0.5750

Computed properties:
ΔE_f = -2.76 eV/f.u.

=====

# 4
This record from Alexandria describes CePrMg2 after structural relaxation. The functional is PBE-GGA.

Cell: 3.8411 3.8411 7.9032 Å, 90.00 90.00 90.00°
Sites, in units of the cell vectors:
1 Mg 0.0000 0.0000 0.2465
2 Mg 0.0000 0.0000 0.7535
3 Ce 0.5000 0.5000 0.0000
4 Pr 0.5000 0.5000 0.5000

Computed properties:
E above lowest polymorph = 0 meV/atom
ΔE_f = -0.04 eV/f.u.

=====

Quick rundown of magnetization, same order as above: 0.00 0.00 0.88 1.02 μB per formula unit
Quick rundown of Fermi-level density of states, same order as above: 3.8 0.0 3.0 8.4 states/eV/f.u.
Quick rundown of energy, same order as above: -0.42509 -0.33787 -0.43401 -0.25613 Ry per atom